# 1
This record from the Alexandria database describes an optimized crystal structure of Nd4TePt. The functional is PBE.

Lattice parameters (Å, degrees): 15.774 5.911 10.320 90.00 130.70 90.00
Space group C2/m (No. 12)
Unique sites:
1 Nd 0.093 0.000 0.447
2 Nd 0.108 0.000 0.007
3 Nd 0.119 0.500 0.805
4 Nd 0.126 0.500 0.207
5 Te 0.199 0.500 0.576
6 Pt 0.168 0.000 0.796

## Properties
Calculated volume ... 730 Å³/cell
Formation energy from raw total energies ... -16.14 kcal/mol of atoms

# 2
This record from the Alexandria database describes an optimized crystal structure of KCr2Pb. The functional is PBE.

Lattice parameters (Å, degrees): 5.148 5.148 3.914 90.00 90.00 90.00
Space group P4/mmm (No. 123)
Unique sites:
1 K 0.000 0.000 0.000
2 Cr 0.000 0.500 0.500
3 Pb 0.500 0.500 0.000

## Properties
ΔE_f ... 3.86 eV/f.u.
Calculated volume ... 104 Å³/cell

# 3
This record from the Alexandria database describes an optimized crystal structure of RbSrBeF6. The functional is PBE.

Lattice parameters (Å, degrees): 5.7155 5.7155 5.8292 90.00 90.00 120.00
Space group P312 (No. 149)
Unique sites:
1 Rb 0.0000 0.0000 0.0000
2 Sr 0.3333 0.6667 0.5000
3 Be 0.6667 0.3333 0.5000
4 F 0.4109 0.0832 0.6760

## Properties
Calculated volume ... 165 Å³/cell
Formation energy from raw total energies ... -65.38 kcal/mol of atoms

# 4
This record from the Alexandria database describes an optimized crystal structure of Y6ErTe8. The functional is PBE.

Lattice parameters (Å, degrees): 12.293 12.293 12.293 90.00 90.00 90.00
Space group Fm-3m (No. 225)
Unique sites:
1 Y 0.000 0.250 0.250
2 Er 0.000 0.000 0.000
3 Te 0.000 0.000 0.254
4 Te 0.250 0.250 0.250

## Properties
Calculated volume ... 1858 Å³/cell
Formation energy from raw total energies ... -31.80 kcal/mol of atoms